[1]
4
Lattice="3.184 0.000 0.000 0.000 3.184 0.000 0.000 0.000 8.629" Properties=species:S:1:pos:R:3 comment="SrTlRe2 | the Alexandria database | GGA-PBE | relaxed" ef_kj_per_mol_atoms=37.3 relative_energy_mev_per_atom=0.0 density_g_cm3=12.6 dos_at_fermi_per_ev_fu=2.57 pbc="T T T"
Sr 0.000 0.000 0.000
Tl 1.592 1.592 2.710
Re 0.000 0.000 4.932
Re 1.592 1.592 6.175


[2]
19
Lattice="4.741 2.737 4.727 -4.741 2.737 4.727 0.000 -5.474 4.727" Properties=species:S:1:pos:R:3 comment="Ce2Al5Au12 | the Alexandria database | GGA-PBE | relaxed" ef_kj_per_mol_atoms=-41.5 density_g_cm3=12.5 dos_at_fermi_per_ev_fu=19.14 pbc="T T T"
Ce 0.000 0.000 2.264
Ce 0.000 0.000 11.915
Al -2.370 -1.368 4.727
Al 0.000 0.000 5.784
Al -2.370 1.368 9.453
Al 0.000 2.737 4.727
Al 0.000 0.000 8.396
Au 0.000 -2.468 4.527
Au -2.137 1.234 4.527
Au -1.449 -2.509 7.090
Au -2.897 0.000 7.090
Au -2.137 -1.234 9.653
Au 1.449 -2.509 7.090
Au -1.449 2.509 7.090
Au 2.137 1.234 4.527
Au 2.897 0.000 7.090
Au 1.449 2.509 7.090
Au 2.137 -1.234 9.653
Au 0.000 2.468 9.653


[3]
8
Lattice="-3.549 3.549 5.322 3.549 -3.549 5.322 3.549 3.549 -5.322" Properties=species:S:1:pos:R:3 comment="ReBiTe2 | the Alexandria database | GGA-PBE | relaxed" raw_formation_energy_ev_per_atom=0.6552 density_g_cm3=8.1 dos_at_fermi_per_ev_fu=3.38 pbc="T T T"
Re 0.000 0.000 0.000
Re 0.000 3.549 2.661
Bi 3.549 0.000 2.661
Bi 0.000 0.000 5.322
Te 5.323 1.289 -1.331
Te 1.289 1.774 1.331
Te -1.774 2.259 3.992
Te 2.259 1.774 6.653


For each record above, in turn, the calculated DFT total energy values are -27.399; -78.072; -39.983 eV per cell.